# PBE ScBeNiAs, optimized geometry
data_ScBeNiAs
_space_group_name_H-M_alt 'F -4 3 m'
_space_group_IT_number 216
_space_group_name_Hall 'F -4 2 3'
_cell_length_a 6.0769
_cell_length_b 6.0769
_cell_length_c 6.0769
_cell_angle_alpha 90.00
_cell_angle_beta 90.00
_cell_angle_gamma 90.00
loop_
_atom_site_label
_atom_site_fract_x
_atom_site_fract_y
_atom_site_fract_z
Sc1 0.0000 0.0000 0.0000
Be1 0.2500 0.2500 0.7500
Ni1 0.2500 0.2500 0.2500
As1 0.0000 0.0000 0.5000
# E_tot = -0.192 hartree per atom
# V = 56 Å³/f.u.
# offset from the most stable computed form = 53.6 meV per atom


# PBE SrBeNiAs2, optimized geometry
data_SrBeNiAs2
_space_group_name_H-M_alt 'I -4 m 2'
_space_group_IT_number 119
_space_group_name_Hall 'I -4 -2'
_cell_length_a 3.9537
_cell_length_b 3.9537
_cell_length_c 11.7804
_cell_angle_alpha 90.00
_cell_angle_beta 90.00
_cell_angle_gamma 90.00
loop_
_atom_site_label
_atom_site_fract_x
_atom_site_fract_y
_atom_site_fract_z
Sr1 0.0000 0.0000 0.0000
Be1 0.0000 0.5000 0.2500
Ni1 0.0000 0.5000 0.7500
As1 0.0000 0.0000 0.3599
# E_tot = -0.171 hartree per atom
# V = 92 Å³/f.u.


# PBE BeNiAsW, optimized geometry
data_BeNiAsW
_space_group_name_H-M_alt 'F -4 3 m'
_space_group_IT_number 216
_space_group_name_Hall 'F -4 2 3'
_cell_length_a 5.9880
_cell_length_b 5.9880
_cell_length_c 5.9880
_cell_angle_alpha 90.00
_cell_angle_beta 90.00
_cell_angle_gamma 90.00
loop_
_atom_site_label
_atom_site_fract_x
_atom_site_fract_y
_atom_site_fract_z
Be1 0.0000 0.0000 0.0000
Ni1 0.0000 0.0000 0.5000
As1 0.2500 0.2500 0.2500
W1 0.2500 0.2500 0.7500
# E_tot = -0.223 hartree per atom
# V = 54 Å³/f.u.


# PBE YBeNiAs, optimized geometry
data_YBeNiAs
_space_group_name_H-M_alt 'F -4 3 m'
_space_group_IT_number 216
_space_group_name_Hall 'F -4 2 3'
_cell_length_a 6.3211
_cell_length_b 6.3211
_cell_length_c 6.3211
_cell_angle_alpha 90.00
_cell_angle_beta 90.00
_cell_angle_gamma 90.00
loop_
_atom_site_label
_atom_site_fract_x
_atom_site_fract_y
_atom_site_fract_z
Y1 0.0000 0.0000 0.0000
Be1 0.2500 0.2500 0.2500
Ni1 0.2500 0.2500 0.7500
As1 0.0000 0.0000 0.5000
# E_tot = -0.191 hartree per atom
# V = 63 Å³/f.u.


# PBE NpBeAs, optimized geometry
data_NpBeAs
_space_group_name_H-M_alt 'F -4 3 m'
_space_group_IT_number 216
_space_group_name_Hall 'F -4 2 3'
_cell_length_a 6.1688
_cell_length_b 6.1688
_cell_length_c 6.1688
_cell_angle_alpha 90.00
_cell_angle_beta 90.00
_cell_angle_gamma 90.00
loop_
_atom_site_label
_atom_site_fract_x
_atom_site_fract_y
_atom_site_fract_z
Np1 0.0000 0.0000 0.0000
Be1 0.0000 0.0000 0.5000
As1 0.2500 0.2500 0.7500
# E_tot = -0.249 hartree per atom
# V = 59 Å³/f.u.
# offset from the most stable computed form = 268.6 meV per atom


# PBE NpBeAs, optimized geometry
data_NpBeAs
_space_group_name_H-M_alt 'F -4 3 m'
_space_group_IT_number 216
_space_group_name_Hall 'F -4 2 3'
_cell_length_a 5.9764
_cell_length_b 5.9764
_cell_length_c 5.9764
_cell_angle_alpha 90.00
_cell_angle_beta 90.00
_cell_angle_gamma 90.00
loop_
_atom_site_label
_atom_site_fract_x
_atom_site_fract_y
_atom_site_fract_z
Np1 0.0000 0.0000 0.0000
Be1 0.2500 0.2500 0.7500
As1 0.0000 0.0000 0.5000
# E_tot = -0.259 hartree per atom
# V = 53 Å³/f.u.
# offset from the most stable computed form = 0.0 meV per atom


# PBE Np2BeAs4, optimized geometry
data_Np2BeAs4
_space_group_name_H-M_alt 'P -4 m 2'
_space_group_IT_number 115
_space_group_name_Hall 'P -4 -2'
_cell_length_a 3.9239
_cell_length_b 3.9239
_cell_length_c 8.9761
_cell_angle_alpha 90.00
_cell_angle_beta 90.00
_cell_angle_gamma 90.00
loop_
_atom_site_label
_atom_site_fract_x
_atom_site_fract_y
_atom_site_fract_z
Np1 0.0000 0.5000 0.2446
Be1 0.5000 0.5000 0.0000
As1 0.0000 0.0000 0.5000
As2 0.0000 0.5000 0.8632
As3 0.5000 0.5000 0.5000
# E_tot = -0.271 hartree per atom
# V = 138 Å³/f.u.


# PBE BeAsOsO, optimized geometry
data_BeAsOsO
_space_group_name_H-M_alt 'P 4/n m m'
_space_group_IT_number 129
_cell_length_a 3.4448
_cell_length_b 3.4448
_cell_length_c 8.2867
_cell_angle_alpha 90.00
_cell_angle_beta 90.00
_cell_angle_gamma 90.00
loop_
_space_group_symop_operation_xyz
'x,y,z'
'-x,-y,-z'
'-y+1/2,x,z'
'y+1/2,-x,-z'
'-x+1/2,-y+1/2,z'
'x+1/2,y+1/2,-z'
'y,-x+1/2,z'
'-y,x+1/2,-z'
'x+1/2,-y,-z'
'-x+1/2,y,z'
'-y,-x,-z'
'y,x,z'
'-x,y+1/2,-z'
'x,-y+1/2,z'
'y+1/2,x+1/2,-z'
'-y+1/2,-x+1/2,z'
loop_
_atom_site_label
_atom_site_fract_x
_atom_site_fract_y
_atom_site_fract_z
Be1 0.2500 0.7500 0.0000
As1 0.2500 0.2500 0.1938
Os1 0.2500 0.2500 0.6586
O1 0.2500 0.7500 0.5000
# E_tot = -0.211 hartree per atom
# V = 49 Å³/f.u.
# offset from the most stable computed form = 1190.9 meV per atom


# PBE BeAsOsO, optimized geometry
data_BeAsOsO
_space_group_name_H-M_alt 'P m c 21'
_space_group_IT_number 26
_space_group_name_Hall 'P 2c -2'
_cell_length_a 4.1675
_cell_length_b 5.2564
_cell_length_c 4.8400
_cell_angle_alpha 90.00
_cell_angle_beta 90.00
_cell_angle_gamma 90.00
loop_
_atom_site_label
_atom_site_fract_x
_atom_site_fract_y
_atom_site_fract_z
Be1 0.0000 0.1263 0.0000
As1 0.5000 0.3342 0.8252
Os1 0.5000 0.1985 0.3357
O1 0.0000 0.1230 0.3217
# E_tot = -0.243 hartree per atom
# V = 53 Å³/f.u.
# offset from the most stable computed form = 334.4 meV per atom


# PBE BeAsOsO, optimized geometry
data_BeAsOsO
_space_group_name_H-M_alt 'P 4/n m m'
_space_group_IT_number 129
_cell_length_a 3.6107
_cell_length_b 3.6107
_cell_length_c 9.0084
_cell_angle_alpha 90.00
_cell_angle_beta 90.00
_cell_angle_gamma 90.00
loop_
_space_group_symop_operation_xyz
'x,y,z'
'-x,-y,-z'
'-y+1/2,x,z'
'y+1/2,-x,-z'
'-x+1/2,-y+1/2,z'
'x+1/2,y+1/2,-z'
'y,-x+1/2,z'
'-y,x+1/2,-z'
'x+1/2,-y,-z'
'-x+1/2,y,z'
'-y,-x,-z'
'y,x,z'
'-x,y+1/2,-z'
'x,-y+1/2,z'
'y+1/2,x+1/2,-z'
'-y+1/2,-x+1/2,z'
loop_
_atom_site_label
_atom_site_fract_x
_atom_site_fract_y
_atom_site_fract_z
Be1 0.2500 0.2500 0.0103
As1 0.2500 0.2500 0.3069
Os1 0.2500 0.7500 0.5000
O1 0.2500 0.7500 0.0000
# E_tot = -0.255 hartree per atom
# V = 59 Å³/f.u.
# offset from the most stable computed form = 0.0 meV per atom


# PBE BeAsOsO, optimized geometry
data_BeAsOsO
_space_group_name_H-M_alt 'P m c 21'
_space_group_IT_number 26
_space_group_name_Hall 'P 2c -2'
_cell_length_a 2.9682
_cell_length_b 5.8324
_cell_length_c 5.8520
_cell_angle_alpha 90.00
_cell_angle_beta 90.00
_cell_angle_gamma 90.00
loop_
_atom_site_label
_atom_site_fract_x
_atom_site_fract_y
_atom_site_fract_z
Be1 0.0000 0.1528 0.0000
As1 0.0000 0.2440 0.5388
Os1 0.5000 0.4994 0.8032
O1 0.5000 0.2341 0.0543
# E_tot = -0.249 hartree per atom
# V = 51 Å³/f.u.
# offset from the most stable computed form = 173.0 meV per atom


# PBE PaBeAsO, optimized geometry
data_PaBeAsO
_space_group_name_H-M_alt 'P 4/n m m'
_space_group_IT_number 129
_cell_length_a 3.9099
_cell_length_b 3.9099
_cell_length_c 9.6610
_cell_angle_alpha 90.00
_cell_angle_beta 90.00
_cell_angle_gamma 90.00
loop_
_space_group_symop_operation_xyz
'x,y,z'
'-x,-y,-z'
'-y+1/2,x,z'
'y+1/2,-x,-z'
'-x+1/2,-y+1/2,z'
'x+1/2,y+1/2,-z'
'y,-x+1/2,z'
'-y,x+1/2,-z'
'x+1/2,-y,-z'
'-x+1/2,y,z'
'-y,-x,-z'
'y,x,z'
'-x,y+1/2,-z'
'x,-y+1/2,z'
'y+1/2,x+1/2,-z'
'-y+1/2,-x+1/2,z'
loop_
_atom_site_label
_atom_site_fract_x
_atom_site_fract_y
_atom_site_fract_z
Pa1 0.2500 0.7500 0.0000
Be1 0.2500 0.2500 0.4917
As1 0.2500 0.2500 0.2232
O1 0.2500 0.7500 0.5000
# E_tot = -0.209 hartree per atom
# V = 74 Å³/f.u.
# offset from the most stable computed form = 1061.3 meV per atom


Copy entry 9 word for word.
# PBE BeAsOsO, optimized geometry
data_BeAsOsO
_space_group_name_H-M_alt 'P m c 21'
_space_group_IT_number 26
_space_group_name_Hall 'P 2c -2'
_cell_length_a 4.1675
_cell_length_b 5.2564
_cell_length_c 4.8400
_cell_angle_alpha 90.00
_cell_angle_beta 90.00
_cell_angle_gamma 90.00
loop_
_atom_site_label
_atom_site_fract_x
_atom_site_fract_y
_atom_site_fract_z
Be1 0.0000 0.1263 0.0000
As1 0.5000 0.3342 0.8252
Os1 0.5000 0.1985 0.3357
O1 0.0000 0.1230 0.3217
# E_tot = -0.243 hartree per atom
# V = 53 Å³/f.u.
# offset from the most stable computed form = 334.4 meV per atom


Question: Which value of E_tot does entry 3 give?
Answer: -0.223 hartree per atom